DFT (GGA-PBE) results for a geometry-optimized SrScOs2 structure.

Cell and atoms, written as extended XYZ:
```
4
Lattice="5.5581 0.0040 0.0200 4.7012 2.9650 0.0200 1.4635 0.4235 5.1439" Properties=species:S:1:pos:R:3 pbc="T T T"
Os 1.7469 0.5055 4.7302
Os 8.6683 2.5085 3.9553
Sc 5.5942 1.6189 3.0012
Sr 3.0382 0.8792 1.2333
```

E_form ... 1.6 eV/f.u.
Fermi-level density of states ... 1.166 states/eV per atom



DFT (GGA-PBE) results for a geometry-optimized CuGe2BiO6 structure.

Cell and atoms, written as extended XYZ:
```
20
Lattice="5.7064 0.0178 0.0185 1.8486 7.0938 0.0564 1.8486 -0.2066 7.0911" Properties=species:S:1:pos:R:3 pbc="T T T"
Cu 3.2752 1.8178 5.1493
Cu 6.1284 5.0873 2.0167
Ge 4.2403 5.3162 4.4454
Ge 2.3101 2.6509 1.6794
Ge 5.1633 1.5889 2.7206
Ge 7.0935 4.2542 5.4865
Bi 3.2752 6.2160 0.9112
Bi 6.1284 0.6891 6.2548
O 4.1726 6.4403 5.8272
O 2.3779 1.3117 0.5049
O 5.2311 0.4648 1.3388
O 7.0257 5.5934 6.6611
O 4.6770 5.9674 2.8630
O 1.8734 4.2563 1.0873
O 4.7266 0.9377 4.3030
O 7.5302 2.6488 6.0786
O 2.5547 4.7322 4.2033
O 3.9957 2.8711 2.2720
O 6.8489 2.1729 2.9626
O 5.4079 4.0340 4.8939
```

Formation energy (no corrections) ... -30.2 kcal/mol of atoms



DFT (GGA-PBE) results for a geometry-optimized Cs2Sb2Au3 structure.

Cell and atoms, written as extended XYZ:
```
7
Lattice="-0.3827 -3.5915 2.8874 7.1884 -2.0555 2.0988 0.8057 4.5956 5.8252" Properties=species:S:1:pos:R:3 pbc="T T T"
Cs 5.5934 -2.2485 5.3530
Cs 2.0180 1.1970 5.4583
Sb 5.9496 1.6039 6.4885
Sb 1.6618 -2.6554 4.3228
Au 2.9744 -1.5138 2.2143
Au 0.0000 0.0000 0.0000
Au 4.6370 0.4623 8.5971
```

Formation energy (no corrections) ... -10.1 kcal/mol of atoms
Fermi-level density of states ... 0.165 states/eV per atom



DFT (GGA-PBE) results for a geometry-optimized CsCeSb2 structure.

Cell and atoms, written as extended XYZ:
```
4
Lattice="4.2643 0.0000 0.0000 0.0000 4.2643 0.0000 0.0000 0.0000 8.1636" Properties=species:S:1:pos:R:3 pbc="T T T"
Cs 2.1321 2.1321 4.0818
Sb 0.0000 0.0000 6.7234
Sb 0.0000 0.0000 1.4402
Ce 2.1321 2.1321 0.0000
```

Formation energy (no corrections) ... -15.4 kcal/mol of atoms
Fermi-level density of states ... 1.481 states/eV per atom



DFT (GGA-PBE) results for a geometry-optimized PrScSiAg structure.

Cell and atoms, written as extended XYZ:
```
4
Lattice="5.0275 0.0000 0.0000 2.5137 4.3539 0.0000 2.5137 1.4513 4.1049" Properties=species:S:1:pos:R:3 pbc="T T T"
Pr 0.0000 0.0000 0.0000
Sc 5.0275 2.9026 2.0525
Si 7.5412 4.3539 3.0787
Ag 2.5137 1.4513 1.0262
```

Formation energy (no corrections) ... -8.6 kcal/mol of atoms
Fermi-level density of states ... 0.951 states/eV per atom



DFT (GGA-PBE) results for a geometry-optimized BaHgSb structure.

Cell and atoms, written as extended XYZ:
```
3
Lattice="5.6275 0.0000 0.0000 2.8137 4.8735 0.0000 2.8137 1.6245 4.5948" Properties=species:S:1:pos:R:3 pbc="T T T"
Ba 8.4412 4.8735 3.4461
Hg 0.0000 0.0000 0.0000
Sb 5.6275 3.2490 2.2974
```

Formation energy (no corrections) ... -7.7 kcal/mol of atoms
Fermi-level density of states ... 1.098 states/eV per atom



DFT (GGA-PBE) results for a geometry-optimized AcPaN structure.

Cell and atoms, written as extended XYZ:
```
3
Lattice="4.4967 0.0000 0.0000 2.2484 3.8943 0.0000 2.2484 1.2981 3.6716" Properties=species:S:1:pos:R:3 pbc="T T T"
Ac 4.4967 2.5962 1.8358
Pa 0.0000 0.0000 0.0000
N 2.2484 1.2981 0.9179
```

Formation energy (no corrections) ... 6.8 kcal/mol of atoms
Fermi-level density of states ... 1.843 states/eV per atom



DFT (GGA-PBE) results for a geometry-optimized ScMn3Sn structure.

Cell and atoms, written as extended XYZ:
```
5
Lattice="-2.7428 -3.7999 -0.2442 3.0099 -2.3480 2.7294 -2.3323 1.4386 3.8096" Properties=species:S:1:pos:R:3 pbc="T T T"
Sc 0.0000 0.0000 0.0000
Mn 1.5050 -1.1740 1.3647
Mn -1.1662 0.7193 1.9048
Mn -1.3714 -1.9000 -0.1221
Sn -1.0326 -2.3547 3.1474
```

E_form ... 5.7 eV/f.u.
Fermi-level density of states ... 0.848 states/eV per atom



Number 1: E_tot -0.530 Ry per atom, density 10.1 g/cm3. Number 2: E_tot -0.441 Ry per atom, density 6.0 g/cm3. Number 3: E_tot -0.240 Ry per atom, density 7.2 g/cm3. Number 4: E_tot -0.325 Ry per atom, density 5.8 g/cm3. Number 5: E_tot -0.383 Ry per atom, density 5.9 g/cm3. Number 6: E_tot -0.180 Ry per atom, density 6.1 g/cm3. Number 7: E_tot -0.516 Ry per atom, density 12.2 g/cm3. Number 8: E_tot -0.472 Ry per atom, density 5.3 g/cm3.